12
Lattice="-3.630 3.630 3.193 3.630 -3.630 3.193 3.630 3.630 -3.193" Properties=species:S:1:pos:R:3 comment="GGA+U CaPuV2O8, optimized geometry" e_tot_ev_per_atom=-8.335 dos_at_fermi_per_ev_atom=0.718 spacegroup="No. 119" total_magnetization_mub_per_fu=4.0 crystal_system=tetragonal pbc="T T T"
Ca 0.000 0.000 0.000
Pu 3.630 0.000 1.596
V 0.000 0.000 3.193
V 0.000 3.630 1.596
O 2.255 3.630 -1.075
O 1.375 0.000 2.118
O 0.000 2.331 0.439
O 3.630 2.255 1.075
O 0.000 4.929 0.439
O 0.000 1.375 4.268
O -1.299 3.630 2.754
O 1.299 3.630 2.754